(1)
VASP calculation (GGA-PBEsol) on an optimized crystal structure of SrN2.

The structure belongs to space group I4/mmm (No. 139); the cell edges are 3.776, 3.776 and 6.229 Å and the angles 90.00°, 90.00° and 90.00°. The inequivalent atoms are Sr at (0.000, 0.000, 0.000) and N at (0.000, 0.000, 0.400).

The value obtained for the formation energy from raw total energies is -1.9 eV per formula unit. As for the total magnetization: 0.000 Bohr magnetons per cell. The value obtained for the density of states at the Fermi level is 0.51 states/eV per atom.

=====

(2)
VASP calculation (GGA-PBEsol) on an optimized crystal structure of Sr3N2.

The structure belongs to space group Ia-3 (No. 206); the cell edges are 12.165, 12.165 and 12.165 Å and the angles 90.00°, 90.00° and 90.00°. The inequivalent atoms are Sr at (0.094, 0.140, 0.633), N at (0.000, 0.000, 0.000) and N at (0.000, 0.250, 0.294).

The value obtained for the formation energy from raw total energies is -3.1 eV per formula unit. As for the total magnetization: 0.003 Bohr magnetons per cell. The value obtained for the density of states at the Fermi level is 0.05 states/eV per atom.

=====

(3)
VASP calculation (GGA-PBEsol) on an optimized crystal structure of SrN.

The structure belongs to space group C2/m (No. 12); the cell edges are 13.419, 3.730 and 6.665 Å and the angles 90.00°, 94.40° and 90.00°. The inequivalent atoms are Sr at (0.146, 0.000, 0.408), Sr at (0.151, 0.500, 0.892), N at (0.022, 0.500, 0.584) and N at (0.248, 0.500, 0.249).

The value obtained for the formation energy from raw total energies is -1.3 eV per formula unit. As for the total magnetization: 1.718 Bohr magnetons per cell. The value obtained for the density of states at the Fermi level is 0.45 states/eV per atom.

=====

(4)
VASP calculation (GGA-PBEsol) on an optimized crystal structure of SrTa3N.

The structure belongs to space group Pm-3m (No. 221); the cell edges are 4.405, 4.405 and 4.405 Å and the angles 90.00°, 90.00° and 90.00°. The inequivalent atoms are Sr at (0.000, 0.000, 0.000), Ta at (0.000, 0.500, 0.500) and N at (0.500, 0.500, 0.500).

The value obtained for the formation energy from raw total energies is 1.1 eV per formula unit. As for the total magnetization: 0.000 Bohr magnetons per cell. The value obtained for the density of states at the Fermi level is 1.14 states/eV per atom.

=====

(5)
VASP calculation (GGA-PBEsol) on an optimized crystal structure of SrTaZnN2.

The structure belongs to space group P4/mmm (No. 123); the cell edges are 4.076, 4.076 and 4.721 Å and the angles 90.00°, 90.00° and 90.00°. The inequivalent atoms are Sr at (0.000, 0.000, 0.000), Ta at (0.500, 0.500, 0.000), Zn at (0.000, 0.000, 0.500) and N at (0.000, 0.500, 0.500).

The value obtained for the formation energy from raw total energies is 10.2 eV per formula unit. As for the total magnetization: 0.001 Bohr magnetons per cell. The value obtained for the density of states at the Fermi level is 0.77 states/eV per atom.

=====

(6)
VASP calculation (GGA-PBEsol) on an optimized crystal structure of SrTcTeN2.

The structure belongs to space group P4/mmm (No. 123); the cell edges are 4.061, 4.061 and 5.472 Å and the angles 90.00°, 90.00° and 90.00°. The inequivalent atoms are Sr at (0.000, 0.000, 0.000), Tc at (0.500, 0.500, 0.500), Te at (0.500, 0.500, 0.000) and N at (0.000, 0.500, 0.500).

The value obtained for the formation energy from raw total energies is 0.4 eV per formula unit. As for the total magnetization: 0.001 Bohr magnetons per cell. The value obtained for the density of states at the Fermi level is 0.69 states/eV per atom.

=====

(7)
VASP calculation (GGA-PBEsol) on an optimized crystal structure of SrTcTe2N.

The structure belongs to space group P4/mmm (No. 123); the cell edges are 5.558, 5.558 and 3.730 Å and the angles 90.00°, 90.00° and 90.00°. The inequivalent atoms are Sr at (0.000, 0.000, 0.000), Tc at (0.500, 0.500, 0.500), Te at (0.000, 0.500, 0.500) and N at (0.500, 0.500, 0.000).

The value obtained for the formation energy from raw total energies is -2.1 eV per formula unit. As for the total magnetization: 0.013 Bohr magnetons per cell. The value obtained for the density of states at the Fermi level is 0.69 states/eV per atom.

=====

(8)
VASP calculation (GGA-PBEsol) on an optimized crystal structure of Sr2TeN.

The structure belongs to space group I-42d (No. 122); the cell edges are 7.535, 7.535 and 7.928 Å and the angles 90.00°, 90.00° and 90.00°. The inequivalent atoms are Sr at (0.164, 0.250, 0.125), Te at (0.000, 0.000, 0.500) and N at (0.000, 0.000, 0.000).

The value obtained for the formation energy from raw total energies is -3.2 eV per formula unit. As for the total magnetization: 4.065 Bohr magnetons per cell. The value obtained for the density of states at the Fermi level is 0.80 states/eV per atom.